[1]
Here is a relaxed LaHfSn crystal from OQMD via LeMat-Bulk. Energies are from PBE-GGA.

a = 7.1651 Å, b = 7.1651 Å, c = 7.1651 Å
α = 90.00°, β = 90.00°, γ = 90.00°
With the nearest neighbours (Å) after each atom.
Space group F-43m (No. 216)
Inequivalent atoms, fractional coordinates:
La1 0.0000 0.0000 0.0000 (multiplicity 4)  4 Sn 3.10
Hf1 0.0000 0.0000 0.5000 (multiplicity 4)  4 Sn 3.10
Sn1 0.2500 0.2500 0.2500 (multiplicity 4)  4 Hf 3.10, 4 La 3.10

Results
The energy is -6.29 eV per atom.

[2]
Here is a relaxed LaHfTa crystal from OQMD via LeMat-Bulk. Energies are from PBE-GGA.

a = 6.8401 Å, b = 6.8401 Å, c = 6.8401 Å
α = 90.00°, β = 90.00°, γ = 90.00°
With the nearest neighbours (Å) after each atom.
Space group F-43m (No. 216)
Inequivalent atoms, fractional coordinates:
La1 0.0000 0.0000 0.0000 (multiplicity 4)  4 Ta 2.96
Hf1 0.0000 0.0000 0.5000 (multiplicity 4)  4 Ta 2.96
Ta1 0.2500 0.2500 0.7500 (multiplicity 4)  4 Hf 2.96, 4 La 2.96

Results
Its formation energy is 0.83 eV/atom.

[3]
Here is a relaxed LaHfTc crystal from OQMD via LeMat-Bulk. Energies are from PBE-GGA.

a = 6.6951 Å, b = 6.6951 Å, c = 6.6951 Å
α = 90.00°, β = 90.00°, γ = 90.00°
With the nearest neighbours (Å) after each atom.
Space group F-43m (No. 216)
Inequivalent atoms, fractional coordinates:
La1 0.0000 0.0000 0.0000 (multiplicity 4)  4 Tc 2.90
Hf1 0.0000 0.0000 0.5000 (multiplicity 4)  4 Tc 2.90
Tc1 0.2500 0.2500 0.7500 (multiplicity 4)  4 Hf 2.90, 4 La 2.90

Results
Its formation energy is 0.17 eV/atom.

[4]
Here is a relaxed LaHfTe crystal from OQMD via LeMat-Bulk. Energies are from PBE-GGA.

a = 7.5375 Å, b = 7.5375 Å, c = 7.5375 Å
α = 90.00°, β = 90.00°, γ = 90.00°
With the nearest neighbours (Å) after each atom.
Space group F-43m (No. 216)
Inequivalent atoms, fractional coordinates:
La1 0.0000 0.0000 0.0000 (multiplicity 4)  4 Hf 3.26, 4 Te 3.26
Hf1 0.2500 0.2500 0.7500 (multiplicity 4)  4 La 3.26
Te1 0.2500 0.2500 0.2500 (multiplicity 4)  4 La 3.26

Results
The energy above the most stable polymorph in this dataset comes out at 593 meV/atom.

[5]
Here is a relaxed LaHfTe crystal from OQMD via LeMat-Bulk. Energies are from PBE-GGA.

a = 7.1446 Å, b = 7.1446 Å, c = 7.1446 Å
α = 90.00°, β = 90.00°, γ = 90.00°
With the nearest neighbours (Å) after each atom.
Space group F-43m (No. 216)
Inequivalent atoms, fractional coordinates:
La1 0.0000 0.0000 0.0000 (multiplicity 4)  4 Te 3.09
Hf1 0.0000 0.0000 0.5000 (multiplicity 4)  4 Te 3.09
Te1 0.2500 0.2500 0.7500 (multiplicity 4)  4 Hf 3.09, 4 La 3.09

Results
The energy above the most stable polymorph in this dataset comes out at 0 meV/atom.

[6]
Here is a relaxed LaHfTh crystal from OQMD via LeMat-Bulk. Energies are from PBE-GGA.

a = 7.3924 Å, b = 7.3924 Å, c = 7.3924 Å
α = 90.00°, β = 90.00°, γ = 90.00°
With the nearest neighbours (Å) after each atom.
Space group F-43m (No. 216)
Inequivalent atoms, fractional coordinates:
La1 0.0000 0.0000 0.0000 (multiplicity 4)  4 Hf 3.20
Hf1 0.2500 0.2500 0.2500 (multiplicity 4)  4 La 3.20, 4 Th 3.20
Th1 0.0000 0.0000 0.5000 (multiplicity 4)  4 Hf 3.20

Results
The energy above the most stable polymorph in this dataset comes out at 0 meV/atom. Its formation energy is 0.70 eV/atom.

[7]
Here is a relaxed LaHfTl crystal from OQMD via LeMat-Bulk. Energies are from PBE-GGA.

a = 7.2138 Å, b = 7.2138 Å, c = 7.2138 Å
α = 90.00°, β = 90.00°, γ = 90.00°
With the nearest neighbours (Å) after each atom.
Space group F-43m (No. 216)
Inequivalent atoms, fractional coordinates:
La1 0.0000 0.0000 0.0000 (multiplicity 4)  4 Tl 3.12
Hf1 0.0000 0.0000 0.5000 (multiplicity 4)  4 Tl 3.12
Tl1 0.2500 0.2500 0.7500 (multiplicity 4)  4 Hf 3.12, 4 La 3.12

Results
The energy above the most stable polymorph in this dataset comes out at 0 meV/atom.

[8]
Here is a relaxed LaHfTl crystal from OQMD via LeMat-Bulk. Energies are from PBE-GGA.

a = 7.3284 Å, b = 7.3284 Å, c = 7.3284 Å
α = 90.00°, β = 90.00°, γ = 90.00°
With the nearest neighbours (Å) after each atom.
Space group F-43m (No. 216)
Inequivalent atoms, fractional coordinates:
La1 0.0000 0.0000 0.0000 (multiplicity 4)  4 Tl 3.17, 4 Hf 3.17
Hf1 0.2500 0.2500 0.7500 (multiplicity 4)  4 La 3.17
Tl1 0.2500 0.2500 0.2500 (multiplicity 4)  4 La 3.17

Results
The energy above the most stable polymorph in this dataset comes out at 486 meV/atom.

Repeat the seventh record exactly.
Here is a relaxed LaHfTl crystal from OQMD via LeMat-Bulk. Energies are from PBE-GGA.

a = 7.2138 Å, b = 7.2138 Å, c = 7.2138 Å
α = 90.00°, β = 90.00°, γ = 90.00°
With the nearest neighbours (Å) after each atom.
Space group F-43m (No. 216)
Inequivalent atoms, fractional coordinates:
La1 0.0000 0.0000 0.0000 (multiplicity 4)  4 Tl 3.12
Hf1 0.0000 0.0000 0.5000 (multiplicity 4)  4 Tl 3.12
Tl1 0.2500 0.2500 0.7500 (multiplicity 4)  4 Hf 3.12, 4 La 3.12

Results
The energy above the most stable polymorph in this dataset comes out at 0 meV/atom.